[1]
Here is a relaxed KCaLa2Ir crystal from Alexandria. Energies are from PBE-GGA.

Cell and atoms, written as CIF:
```
data_KCaLa2Ir
_chemical_formula_sum 'K1 Ca1 La2 Ir1'
_space_group_name_H-M_alt 'P 4/m m m'
_space_group_IT_number 123
_space_group_name_Hall '-P 4 2'
_cell_length_a 5.580
_cell_length_b 5.580
_cell_length_c 6.512
_cell_angle_alpha 90.00
_cell_angle_beta 90.00
_cell_angle_gamma 90.00
loop_
_atom_site_label
_atom_site_type_symbol
_atom_site_fract_x
_atom_site_fract_y
_atom_site_fract_z
K1 K 0.000 0.000 0.000
Ca1 Ca 0.500 0.500 0.000
La1 La 0.000 0.500 0.500
Ir1 Ir 0.000 0.000 0.500
```

Results
Density of states at the Fermi level (states/eV/atom): 0.901
Calculated formation energy (eV per atom): -0.04
DFT total energy (eV per atom): -4.407

=====

[2]
Here is a relaxed Tb4CePm crystal from Alexandria. Energies are from PBE-GGA.

Cell and atoms, written as CIF:
```
data_Tb4CePm
_chemical_formula_sum 'Tb8 Ce2 Pm2'
_space_group_name_H-M_alt 'C 1 2/m 1'
_space_group_IT_number 12
_space_group_name_Hall '-C 2y'
_cell_length_a 17.311
_cell_length_b 3.592
_cell_length_c 6.240
_cell_angle_alpha 90.00
_cell_angle_beta 96.85
_cell_angle_gamma 90.00
loop_
_atom_site_label
_atom_site_type_symbol
_atom_site_fract_x
_atom_site_fract_y
_atom_site_fract_z
Tb1 Tb 0.166 0.000 0.391
Tb2 Tb 0.167 0.500 0.886
Ce1 Ce 0.000 0.500 0.500
Pm1 Pm 0.000 0.000 0.000
```

Results
Density of states at the Fermi level (states/eV/atom): 1.716
Calculated formation energy (eV per atom): 0.03
DFT total energy (eV per atom): -4.838

=====

[3]
Here is a relaxed BeSi4 crystal from Alexandria. Energies are from PBE-GGA.

Cell and atoms, written as CIF:
```
data_BeSi4
_chemical_formula_sum 'Be2 Si8'
_space_group_name_H-M_alt 'I 4/m m m'
_space_group_IT_number 139
_space_group_name_Hall '-I 4 2'
_cell_length_a 4.793
_cell_length_b 4.793
_cell_length_c 6.969
_cell_angle_alpha 90.00
_cell_angle_beta 90.00
_cell_angle_gamma 90.00
loop_
_atom_site_label
_atom_site_type_symbol
_atom_site_fract_x
_atom_site_fract_y
_atom_site_fract_z
Be1 Be 0.000 0.000 0.000
Si1 Si 0.000 0.000 0.329
Si2 Si 0.000 0.500 0.250
```

Results
Raw formation energy (eV per formula unit): 2.90
Density of states at the Fermi level (states/eV/atom): 0.408
DFT total energy (eV per atom): -4.503

=====

[4]
Here is a relaxed Pm2Ho8Th crystal from Alexandria. Energies are from PBE-GGA.

Cell and atoms, written as CIF:
```
data_Pm2Ho8Th
_chemical_formula_sum 'Pm4 Ho16 Th2'
_space_group_name_H-M_alt 'C 1 2/m 1'
_space_group_IT_number 12
_space_group_name_Hall '-C 2y'
_cell_length_a 18.121
_cell_length_b 5.034
_cell_length_c 7.942
_cell_angle_alpha 90.00
_cell_angle_beta 105.16
_cell_angle_gamma 90.00
loop_
_atom_site_label
_atom_site_type_symbol
_atom_site_fract_x
_atom_site_fract_y
_atom_site_fract_z
Pm1 Pm 0.228 0.000 0.136
Ho1 Ho 0.044 0.000 0.232
Ho2 Ho 0.089 0.500 0.951
Ho3 Ho 0.134 0.000 0.677
Ho4 Ho 0.180 0.500 0.407
Th1 Th 0.000 0.500 0.500
```

Results
Density of states at the Fermi level (states/eV/atom): 1.494
Calculated formation energy (eV per atom): 0.03
DFT total energy (eV per atom): -4.841

=====

[5]
Here is a relaxed Nd2TcBr crystal from Alexandria. Energies are from PBE-GGA.

Cell and atoms, written as CIF:
```
data_Nd2TcBr
_chemical_formula_sum 'Nd2 Tc1 Br1'
_space_group_name_H-M_alt 'P 4/m m m'
_space_group_IT_number 123
_space_group_name_Hall '-P 4 2'
_cell_length_a 3.539
_cell_length_b 3.539
_cell_length_c 8.187
_cell_angle_alpha 90.00
_cell_angle_beta 90.00
_cell_angle_gamma 90.00
loop_
_atom_site_label
_atom_site_type_symbol
_atom_site_fract_x
_atom_site_fract_y
_atom_site_fract_z
Nd1 Nd 0.000 0.000 0.208
Tc1 Tc 0.500 0.500 0.000
Br1 Br 0.500 0.500 0.500
```

Results
Raw formation energy (eV per formula unit): -2.20
Density of states at the Fermi level (states/eV/atom): 0.567
DFT total energy (eV per atom): -5.944

=====

[6]
Here is a relaxed CeBe2InPd5 crystal from Alexandria. Energies are from PBE-GGA.

Cell and atoms, written as CIF:
```
data_CeBe2InPd5
_chemical_formula_sum 'Ce1 Be2 In1 Pd5'
_space_group_name_H-M_alt 'P 4/m m m'
_space_group_IT_number 123
_space_group_name_Hall '-P 4 2'
_cell_length_a 4.137
_cell_length_b 4.137
_cell_length_c 8.517
_cell_angle_alpha 90.00
_cell_angle_beta 90.00
_cell_angle_gamma 90.00
loop_
_atom_site_label
_atom_site_type_symbol
_atom_site_fract_x
_atom_site_fract_y
_atom_site_fract_z
Ce1 Ce 0.000 0.000 0.000
Be1 Be 0.500 0.500 0.361
In1 In 0.000 0.000 0.500
Pd1 Pd 0.000 0.500 0.254
Pd2 Pd 0.500 0.500 0.000
```

Results
Density of states at the Fermi level (states/eV/atom): 0.779
Calculated formation energy (eV per atom): -0.49
DFT total energy (eV per atom): -5.170

=====

[7]
Here is a relaxed SrScPb2 crystal from Alexandria. Energies are from PBE-GGA.

Cell and atoms, written as CIF:
```
data_SrScPb2
_chemical_formula_sum 'Sr1 Sc1 Pb2'
_space_group_name_H-M_alt 'P 4 m m'
_space_group_IT_number 99
_space_group_name_Hall 'P 4 -2'
_cell_length_a 4.298
_cell_length_b 4.298
_cell_length_c 6.958
_cell_angle_alpha 90.00
_cell_angle_beta 90.00
_cell_angle_gamma 90.00
loop_
_atom_site_label
_atom_site_type_symbol
_atom_site_fract_x
_atom_site_fract_y
_atom_site_fract_z
Sr1 Sr 0.000 0.000 0.000
Sc1 Sc 0.500 0.500 0.651
Pb1 Pb 0.000 0.000 0.530
Pb2 Pb 0.500 0.500 0.235
```

Results
Density of states at the Fermi level (states/eV/atom): 0.985
Calculated formation energy (eV per atom): -0.12
DFT total energy (eV per atom): -3.977

=====

[8]
Here is a relaxed Ta4MnCl crystal from Alexandria. Energies are from PBE-GGA.

Cell and atoms, written as CIF:
```
data_Ta4MnCl
_chemical_formula_sum 'Ta16 Mn4 Cl4'
_space_group_name_H-M_alt 'F -4 3 m'
_space_group_IT_number 216
_space_group_name_Hall 'F -4 2 3'
_cell_length_a 7.814
_cell_length_b 7.814
_cell_length_c 7.814
_cell_angle_alpha 90.00
_cell_angle_beta 90.00
_cell_angle_gamma 90.00
loop_
_atom_site_label
_atom_site_type_symbol
_atom_site_fract_x
_atom_site_fract_y
_atom_site_fract_z
Ta1 Ta 0.123 0.123 0.377
Mn1 Mn 0.250 0.250 0.750
Cl1 Cl 0.000 0.000 0.000
```

Results
Raw formation energy (eV per formula unit): 5.38
Density of states at the Fermi level (states/eV/atom): 0.821
DFT total energy (eV per atom): -8.841

=====

Q: Among the records above, which one has the lowest density of states at the Fermi level?
A: BeSi4

=====

Q: Which value of density of states at the Fermi level does entry 6 give?
A: 0.779 states/eV/atom